VASP calculation (PBE-GGA) on a relaxed structure of InFeMo2.

The formation energy comes out at 448 meV per atom. The calculation puts the total magnetization at 0.27 μB per atom. The calculated density comes out at 9.4 Mg/m³.

The space group is R-3m (No. 166, hexagonal axes) and the conventional cell measures 2.8646, 2.8646 and 27.1142 Å, with angles of 90.00, 90.00 and 120.00 degrees. The asymmetric unit holds In at (0.0000, 0.0000, 0.0000), Fe at (0.0000, 0.0000, 0.5000) and Mo at (0.0000, 0.0000, 0.2416).